1.
This record from Alexandria via LeMat-Bulk describes crystalline FeAgP2 at its relaxed geometry. The functional is PBEsol.

Geometry as POSCAR:
```
FeAgP2
1.0
-2.6786 0.5787 1.3216
-1.3500 -1.9882 -1.8657
0.9788 -4.2882 3.8616
Fe P Ag
1 2 1
Direct
0.5000 0.5000 0.8388
0.5000 0.5000 0.2186
0.0000 0.0000 0.9442
0.0000 0.0000 0.4985
```

Summary:
- Size of the total moment: 0.00 μB/f.u.
- E above lowest polymorph: 0.0000 eV per atom
- Formation energy from the elements: 142 meV per atom



2.
This record from Alexandria via LeMat-Bulk describes crystalline FeAgP2 at its relaxed geometry. The functional is PBEsol.

Geometry as POSCAR:
```
FeAgP2
1.0
-0.7015 2.6213 1.1614
-2.8335 0.7410 0.3669
-1.0811 -1.7968 7.1535
Ag P Fe
1 2 1
Direct
0.4987 0.4987 0.5040
0.9962 0.9962 0.0113
0.7400 0.7400 0.7801
0.2651 0.2651 0.2046
```

Summary:
- Size of the total moment: 1.52 μB/f.u.
- E above lowest polymorph: 0.0588 eV per atom
- Formation energy from the elements: 200 meV per atom



3.
This record from Alexandria via LeMat-Bulk describes crystalline FeAgP2 at its relaxed geometry. The functional is PBEsol.

Geometry as POSCAR:
```
FeAgP2
1.0
-3.3110 -0.6300 -1.3264
1.0287 -3.3300 -0.9861
-0.0811 0.4892 4.9154
P Ag Fe
2 1 1
Direct
0.7500 0.2500 0.5000
0.0000 0.0000 0.0000
0.5000 0.5000 0.0000
0.2500 0.7500 0.5000
```

Summary:
- Size of the total moment: 2.06 μB/f.u.
- E above lowest polymorph: 0.2601 eV per atom
- Formation energy from the elements: 402 meV per atom



4.
This record from Alexandria via LeMat-Bulk describes crystalline Fe2AgP at its relaxed geometry. The functional is PBEsol.

Geometry as POSCAR:
```
Fe2AgP
1.0
-2.1182 -0.3154 1.8613
1.0384 -3.7297 -1.6129
3.1879 -0.1553 3.6016
Fe P Ag
2 1 1
Direct
0.9866 0.9732 0.9389
0.2557 0.5114 0.7324
0.5263 0.0527 0.5957
0.7314 0.4627 0.2329
```

Summary:
- Size of the total moment: 4.11 μB/f.u.
- Formation energy from the elements: 150 meV per atom



5.
This record from Alexandria via LeMat-Bulk describes crystalline FeAg2P at its relaxed geometry. The functional is PBEsol.

Geometry as POSCAR:
```
FeAg2P
1.0
2.7197 0.0135 0.0000
-0.1658 4.5482 0.0000
-1.2769 -2.2809 4.7982
P Fe Ag
1 1 2
Direct
0.5000 0.0000 0.0000
0.0000 0.5000 0.0000
0.0000 0.0000 0.5000
0.5000 0.5000 0.5000
```

Summary:
- Size of the total moment: 2.72 μB/f.u.
- Formation energy from the elements: 360 meV per atom



6.
This record from Alexandria via LeMat-Bulk describes crystalline FeAg2P at its relaxed geometry. The functional is PBEsol.

Geometry as POSCAR:
```
FeAg2P
1.0
-0.7104 3.2740 1.6176
0.7695 -1.4767 3.3268
4.0819 0.2183 -2.9274
Ag Fe P
2 1 1
Direct
0.7500 0.2500 0.5000
0.2500 0.7500 0.5000
0.5000 0.5000 0.0000
0.0000 0.0000 0.0000
```

Summary:
- Size of the total moment: 2.81 μB/f.u.
- Formation energy from the elements: 380 meV per atom



7.
This record from Alexandria via LeMat-Bulk describes crystalline FeAgP at its relaxed geometry. The functional is PBEsol.

Geometry as POSCAR:
```
FeAgP
1.0
-1.2462 1.6099 -1.9392
2.0373 -1.7854 -0.7532
-4.1418 -4.3318 -0.9346
Ag Fe P
1 1 1
Direct
0.0000 0.0000 0.9920
0.6667 0.3333 0.6256
0.3333 0.6667 0.3824
```

Summary:
- Size of the total moment: 1.66 μB/f.u.
- E above lowest polymorph: 0.0558 eV per atom
- Formation energy from the elements: 65 meV per atom



8.
This record from Alexandria via LeMat-Bulk describes crystalline Fe2AgP at its relaxed geometry. The functional is PBEsol.

Geometry as POSCAR:
```
Fe2AgP
1.0
-1.9335 -0.1418 1.9218
2.4788 -1.9169 2.3525
2.3628 4.2775 0.9958
Fe P Ag
2 1 1
Direct
0.9552 0.0000 0.0511
0.6252 0.5000 0.2647
0.5877 0.0000 0.4384
0.3319 0.5000 0.7458
```

Summary:
- Size of the total moment: 3.80 μB/f.u.
- Formation energy from the elements: 154 meV per atom



9.
This record from Alexandria via LeMat-Bulk describes crystalline FeAgP at its relaxed geometry. The functional is PBEsol.

Geometry as POSCAR:
```
FeAgP
1.0
3.4497 0.0000 0.0000
0.0000 3.6903 0.0000
0.0000 -1.8451 3.1959
P Fe Ag
1 1 1
Direct
0.5000 0.6667 0.3333
0.5000 0.3333 0.6667
0.0000 0.0000 0.0000
```

Summary:
- Size of the total moment: 0.15 μB/f.u.
- E above lowest polymorph: 0.0000 eV per atom
- Formation energy from the elements: 9 meV per atom



10.
This record from Alexandria via LeMat-Bulk describes crystalline Fe2AgPb2 at its relaxed geometry. The functional is PBEsol.

Geometry as POSCAR:
```
Fe2AgPb2
1.0
-4.9792 -0.4048 -1.1449
2.1735 -3.4848 3.2508
-1.1604 0.1618 4.9894
Pb Ag Fe
2 1 2
Direct
0.2500 0.5000 0.2500
0.7500 0.5000 0.7500
0.0000 0.0000 0.0000
0.6421 0.2841 0.3579
0.3579 0.7159 0.6421
```

Summary:
- Size of the total moment: 4.65 μB/f.u.
- Formation energy from the elements: 665 meV per atom



11.
This record from Alexandria via LeMat-Bulk describes crystalline FeAg2Pb at its relaxed geometry. The functional is PBEsol.

Geometry as POSCAR:
```
FeAg2Pb
1.0
3.1211 0.0000 0.0000
0.0000 3.0831 0.0000
0.0000 0.0000 7.4782
Pb Ag Fe
1 2 1
Direct
0.5000 0.5000 0.7304
0.0000 0.0000 0.0338
0.5000 0.5000 0.2671
0.0000 0.0000 0.4687
```

Summary:
- Size of the total moment: 2.79 μB/f.u.
- Formation energy from the elements: 383 meV per atom



12.
This record from Alexandria via LeMat-Bulk describes crystalline FeAgPb2 at its relaxed geometry. The functional is PBEsol.

Geometry as POSCAR:
```
FeAgPb2
1.0
-2.6953 -0.9909 -2.3496
-1.5679 -2.7050 2.9394
-1.6976 4.3090 3.0599
Pb Ag Fe
2 1 1
Direct
0.1069 0.0000 0.2139
0.3976 0.5000 0.7953
0.8247 0.0000 0.6494
0.6709 0.5000 0.3417
```

Summary:
- Size of the total moment: 2.52 μB/f.u.
- E above lowest polymorph: 0.0000 eV per atom
- Formation energy from the elements: 365 meV per atom



13.
This record from Alexandria via LeMat-Bulk describes crystalline FeAgPb2 at its relaxed geometry. The functional is PBEsol.

Geometry as POSCAR:
```
FeAgPb2
1.0
-0.8087 -1.5439 2.8008
-2.4297 -2.2313 0.0111
4.7446 -7.6095 -0.8821
Fe Pb Ag
1 2 1
Direct
0.5000 0.5000 0.5000
0.7566 0.7566 0.7301
0.2434 0.2434 0.2699
0.0000 0.0000 0.0000
```

Summary:
- Size of the total moment: 2.25 μB/f.u.
- E above lowest polymorph: 0.0906 eV per atom
- Formation energy from the elements: 456 meV per atom



14.
This record from Alexandria via LeMat-Bulk describes crystalline FeAgPb2 at its relaxed geometry. The functional is PBEsol.

Geometry as POSCAR:
```
FeAgPb2
1.0
4.5123 0.0000 0.0000
0.0000 4.5370 0.0000
-2.2562 -2.2685 4.0718
Pb Fe Ag
2 1 1
Direct
0.7494 0.7494 0.4987
0.2506 0.2506 0.5013
0.0000 0.5000 0.0000
0.5000 0.0000 0.0000
```

Summary:
- Size of the total moment: 2.74 μB/f.u.
- E above lowest polymorph: 0.1559 eV per atom
- Formation energy from the elements: 521 meV per atom